YSiNi | PBEsol | optimized geometry

Total magnetization, μB per formula unit: 0.00
Uncorrected formation energy, eV/atom: -0.830
Symmetry: No. 187
D(E_F), states/eV/cell: 2.465

Lattice parameters (Å, degrees): 3.9954 3.9954 3.7762 90.00 90.00 120.00
Last column: nearest neighbours and their distance in Å.
Fractional positions:
Si: 0.3333 0.6667 0.0000  3 Ni 2.31
Ni: 0.0000 0.0000 0.0000  3 Si 2.31
Y: 0.6667 0.3333 0.5000  6 Si 2.98, 6 Ni 2.98